VASP calculation (PBE) on AcPb2Au after structural relaxation.

Summary:
Space-group type: I4/mmm, No. 139
Energy of formation, meV per atom: -523
M_tot, μB/f.u.: 0.00

Cell lengths 9.481, 9.481, 9.481 Å; angles 148.06, 148.06, 45.79 degrees
Fractional coordinates of all 8 atoms:
Ac (0.142, 0.142, 0.000)
Ac (0.858, 0.858, 0.000)
Pb (0.000, 0.500, 0.500)
Pb (0.362, 0.362, 0.000)
Pb (0.500, 0.000, 0.500)
Pb (0.638, 0.638, 0.000)
Au (0.250, 0.750, 0.500)
Au (0.750, 0.250, 0.500)